Density functional theory data (PBE+U) for a relaxed CsSmVF6 crystal.

extended XYZ file:
```
18
Lattice="-0.9553 3.0524 7.7644 2.4435 -6.9684 3.0401 4.5874 3.7981 -5.4697" Properties=species:S:1:pos:R:3 pbc="T T T"
Cs 3.4809 0.9395 4.5999
Cs 2.5948 -1.0574 0.7349
F 1.0044 1.7253 2.3597
F 4.0081 1.0709 -1.5545
F 5.3796 -0.0962 0.6997
F 0.6960 -0.0216 4.6351
F 2.4339 4.4840 3.0776
F 3.6660 2.1643 1.2268
F 5.0712 -1.8432 2.9751
F 2.0675 -1.1888 6.8893
F 0.6622 2.8187 5.1410
F 2.4097 -2.2822 4.1081
F 3.6418 -4.6019 2.2572
F 5.4134 -2.9366 0.1939
Sm 2.2937 1.8990 -2.7349
Sm 1.8161 3.4253 1.1474
V 0.7441 -1.9580 5.4023
V -0.4776 1.5262 3.8822
```

crystal system: orthorhombic
theoretical density: 3.9 g/cm3
SG: Imma (74)
VASP energy: -0.4417 Ry/atom
M_tot: 3.00 μB per formula unit